# 1
A relaxed Ce2PmSmSb4 crystal, computed with GGA-PBE.

Cell lengths 7.7787, 4.4886, 7.7792 Å; angles 90.00, 109.45, 90.00 degrees
Closest atoms and distances in Å follow each position.
Space group P2/m (No. 10)
Unique sites:
1 Ce 0.0000 0.0000 0.0000 x1  6 Sb 3.18
2 Ce 0.5000 0.5000 0.0000 x1  6 Sb 3.17
3 Pm 0.0000 0.5000 0.5000 x1  6 Sb 3.18
4 Sm 0.5000 0.0000 0.5000 x1  6 Sb 3.17
5 Sb 0.2509 0.0000 0.7507 x2  3 Ce 3.17-3.18, 1 Sm 3.17, 2 Pm 3.18
6 Sb 0.2506 0.5000 0.2498 x2  3 Ce 3.17-3.18, 2 Sm 3.17, 1 Pm 3.18

Properties
crystal system	monoclinic
formation energy from raw total energies	-1.12	eV per atom

# 2
A relaxed Nd7Zn2Pt2 crystal, computed with GGA-PBE.

Cell lengths 8.0758, 11.2089, 7.3276 Å; angles 90.00, 90.00, 90.00 degrees
Closest atoms and distances in Å follow each position.
Space group Cmmm (No. 65)
Unique sites:
1 Nd 0.0000 0.0000 0.0000 x2  2 Pt 3.26
2 Nd 0.0000 0.5000 0.2599 x4  2 Pt 3.02, 2 Zn 3.25
3 Nd 0.2500 0.2500 0.2656 x8  2 Pt 2.84
4 Zn 0.1622 0.0000 0.5000 x4  1 Zn 2.62
5 Pt 0.0000 0.2910 0.0000 x4  6 Nd 2.84-3.02

Properties
formation energy from the elements	-386.7	meV per atom
crystal system	orthorhombic